# 1
PBE AgSbAs2, relaxed; SG = No. 10; N(E_F) = 1.8 states/eV per cell; formation energy (no corrections) = 0.184 eV per atom; calculated density = 7170 kg/m³
1.0
3.9472 0.0000 0.0000
0.0000 2.9441 -0.0184
0.0000 0.0719 7.5624
As Sb Ag
2 1 1
Direct
0.0000 0.2483 0.5268 As
0.0000 0.2517 0.9732 As
0.5000 0.2500 0.2500 Sb
0.5000 0.7500 0.7500 Ag

---

# 2
PBE AgSbAs2, relaxed; SG = No. 160; N(E_F) = 1.2 states/eV per cell; formation energy (no corrections) = 0.124 eV per atom; calculated density = 7033 kg/m³
1.0
-2.5179 5.5634 4.6103
-4.7813 2.6599 5.3488
-1.3952 2.8578 6.9593
As Sb Ag
2 1 1
Direct
0.2592 0.2592 0.2592 As
0.9944 0.9944 0.9944 As
0.5009 0.5009 0.5009 Sb
0.7455 0.7455 0.7455 Ag

---

# 3
PBE AgSb2As, relaxed; SG = No. 123; N(E_F) = 2.1 states/eV per cell; formation energy (no corrections) = 0.269 eV per atom; calculated density = 7702 kg/m³
1.0
5.3042 0.0193 0.0000
-0.0241 5.3044 0.0000
0.0000 0.0000 3.2669
Sb Ag As
2 1 1
Direct
0.5000 0.5000 0.0000 Sb
0.0000 0.0000 0.0000 Sb
0.5000 0.0000 0.5000 Ag
0.0000 0.5000 0.5000 As

---

# 4
PBE AgSb2As, relaxed; SG = No. 12; N(E_F) = 2.1 states/eV per cell; formation energy (no corrections) = 0.110 eV per atom; calculated density = 7227 kg/m³
1.0
-3.4333 -1.9766 -0.4306
-0.5697 -3.3664 2.0550
-4.1751 1.8852 5.8644
As Ag Sb
1 1 2
Direct
0.2500 0.2500 0.2500 As
0.7500 0.7500 0.7500 Ag
0.5008 0.5008 0.4981 Sb
0.9992 0.9992 0.0019 Sb

---

# 5
PBE Ag2SbAs, relaxed; SG = No. 119; N(E_F) = 1.9 states/eV per cell; formation energy (no corrections) = 0.209 eV per atom; calculated density = 8171 kg/m³
1.0
-2.7091 4.7057 -0.1577
-5.1110 -0.5785 1.7466
4.8147 -1.4473 2.0571
Sb Ag As
1 2 1
Direct
0.7500 0.2500 0.5000 Sb
0.2500 0.7500 0.5000 Ag
0.0000 0.0000 0.0000 Ag
0.5000 0.5000 0.0000 As

---

# 6
PBE AgSb2As, relaxed; SG = No. 160; N(E_F) = 2.3 states/eV per cell; formation energy (no corrections) = 0.152 eV per atom; calculated density = 7122 kg/m³
1.0
-1.4492 3.4274 1.3175
-3.8845 0.4119 0.5695
-1.0089 -1.0629 7.5692
Sb As Ag
2 1 1
Direct
0.0814 0.0814 0.7560 Sb
0.2520 0.2520 0.2440 Sb
0.6675 0.6675 0.9976 As
0.4992 0.4992 0.5024 Ag

---

# 7
PBE AgSbAs2, relaxed; SG = No. 47; N(E_F) = 1.5 states/eV per cell; formation energy (no corrections) = 0.319 eV per atom; calculated density = 7189 kg/m³
1.0
-2.3135 1.4263 -1.3217
-1.2566 -3.8202 -1.9231
-3.7633 -1.3466 5.1340
Ag As Sb
1 2 1
Direct
0.5000 0.5000 0.7500 Ag
0.0000 0.0000 0.5493 As
0.0000 0.0000 0.9507 As
0.5000 0.5000 0.2500 Sb

---

# 8
PBE Ag2SbAs, relaxed; SG = No. 71; N(E_F) = 1.2 states/eV per cell; formation energy (no corrections) = 0.190 eV per atom; calculated density = 8172 kg/m³
1.0
-2.3607 0.2672 4.8687
-1.8999 -4.8439 1.5086
4.7928 1.8345 -1.7355
Sb Ag As
1 2 1
Direct
0.2500 0.7500 0.5000 Sb
0.9962 0.9962 0.0000 Ag
0.5038 0.5038 0.0000 Ag
0.7500 0.2500 0.5000 As

---

# 9
PBE AgSbAs, relaxed; SG = No. 216; N(E_F) = 1.4 states/eV per cell; formation energy (no corrections) = 0.222 eV per atom; calculated density = 6918 kg/m³
1.0
-2.2684 -1.7120 3.7349
-0.7911 -4.6125 0.3539
2.3192 -2.5405 3.1928
As Sb Ag
1 1 1
Direct
0.0000 0.0000 0.0000 As
0.5000 0.5000 0.5000 Sb
0.2500 0.2500 0.2500 Ag

---

# 10
PBE Ag2SbAs, relaxed; SG = No. 160; N(E_F) = 1.9 states/eV per cell; formation energy (no corrections) = 0.256 eV per atom; calculated density = 8202 kg/m³
1.0
9.8138 -0.0862 -0.0505
9.3318 3.0388 -0.0505
9.3318 1.4392 2.6769
Ag As Sb
2 1 1
Direct
0.2495 0.2495 0.2495 Ag
0.9943 0.9943 0.9943 Ag
0.5072 0.5072 0.5072 As
0.7490 0.7490 0.7490 Sb

---

# 11
PBE AgSbAs, relaxed; SG = No. 2; N(E_F) = 2.2 states/eV per cell; formation energy (no corrections) = 0.114 eV per atom; calculated density = 7367 kg/m³
1.0
-0.6396 2.4339 3.0659
1.7118 -5.4779 2.4383
4.6007 4.7967 -0.0957
Ag As Sb
2 2 2
Direct
0.9555 0.7502 0.9880 Ag
0.0445 0.2498 0.0120 Ag
0.7299 0.2868 0.6965 As
0.2701 0.7132 0.3035 As
0.6449 0.8144 0.6562 Sb
0.3551 0.1856 0.3438 Sb

---

# 12
PBE Ag2SbAs, relaxed; SG = No. 123; N(E_F) = 1.3 states/eV per cell; formation energy (no corrections) = 0.187 eV per atom; calculated density = 8183 kg/m³
1.0
4.3544 0.0000 0.0000
0.0000 4.3476 0.0000
0.0000 0.0000 4.4206
Ag As Sb
2 1 1
Direct
0.0000 0.0000 0.0000 Ag
0.5000 0.5000 0.0000 Ag
0.5000 0.0000 0.5000 As
0.0000 0.5000 0.5000 Sb

---

# 13
PBE AgSbAs2, relaxed; SG = No. 8; N(E_F) = 1.9 states/eV per cell; formation energy (no corrections) = 0.227 eV per atom; calculated density = 7057 kg/m³
1.0
6.3544 0.3066 -0.2784
5.1100 3.7896 -0.2784
1.7982 0.6425 3.8790
Sb As Ag
1 2 1
Direct
0.4516 0.4516 0.5753 Sb
0.0565 0.0565 0.8776 As
0.7370 0.7370 0.7893 As
0.2551 0.2551 0.2578 Ag

---

# 14
PBE Ag2SbAs, relaxed; SG = No. 216; N(E_F) = 1.2 states/eV per cell; formation energy (no corrections) = 0.273 eV per atom; calculated density = 8038 kg/m³
1.0
-1.7490 3.5638 2.9384
0.4994 -0.3722 4.8996
3.1254 2.9799 2.3971
Sb As Ag
1 1 2
Direct
0.7500 0.7500 0.7500 Sb
0.5000 0.5000 0.5000 As
0.0000 0.0000 0.0000 Ag
0.2500 0.2500 0.2500 Ag

---

# 15
PBE AgSbAs, relaxed; SG = No. 156; N(E_F) = 1.5 states/eV per cell; formation energy (no corrections) = 0.225 eV per atom; calculated density = 7305 kg/m³
1.0
5.1794 0.0000 0.0000
-2.5897 4.4855 0.0000
0.0000 0.0000 2.9800
As Ag Sb
1 1 1
Direct
0.6667 0.3333 0.3329 As
0.0000 0.0000 0.3319 Ag
0.3333 0.6667 0.3352 Sb